A relaxed BaVCu2 crystal, computed with PBE.

The structure in POSCAR format:
```
BaVCu2
1.0
0.000 3.558 3.558
3.558 0.000 3.558
3.558 3.558 0.000
Ba V Cu
1 1 2
direct
0.000 0.000 0.000
0.500 0.500 0.500
0.250 0.250 0.250
0.750 0.750 0.750
```

Magnetic moment (μB per formula unit): 3.82
Energy of formation from the pure elements (meV per atom): 664.5
N(E_F) (states/eV/cell): 4.98
Calculated total energy (eV/f.u.): -16.58
Mass density (g cm⁻³): 5.81
Excess energy over the best structure of this formula in the dataset (meV/atom): 87